{
  "formula": "AlTl3Pd12",
  "functional": "PBE",
  "state": "optimized geometry",
  "vol_a3_per_atom": 16.51,
  "ef_ev_per_fu": -4.61,
  "m_tot_mub_per_fu": 0.00,
  "spacegroup": "P4/mmm (123)",
  "lattice_angstrom": [[-0.181, 3.926, -0.983], [-0.376, -0.996, -3.909], [-16.014, -0.330, 1.626]],
  "species": ["Pd", "Pd", "Pd", "Pd", "Pd", "Pd", "Pd", "Pd", "Pd", "Pd", "Pd", "Pd", "Al", "Tl", "Tl", "Tl"],
  "frac_coords": [[0.500, 0.000, 0.371], [0.500, 0.000, 0.113], [0.500, 0.500, 0.500], [0.500, 0.500, 0.000], [0.000, 0.500, 0.113], [0.500, 0.000, 0.629], [0.500, 0.500, 0.242], [0.500, 0.000, 0.887], [0.000, 0.500, 0.371], [0.000, 0.500, 0.629], [0.500, 0.500, 0.758], [0.000, 0.500, 0.887], [0.000, 0.000, 0.000], [0.000, 0.000, 0.756], [0.000, 0.000, 0.244], [0.000, 0.000, 0.500]]
}


{
  "formula": "TaP2Os",
  "functional": "PBE",
  "state": "optimized geometry",
  "vol_a3_per_atom": 15.10,
  "ef_ev_per_fu": 1.54,
  "e_above_lowest_polymorph_ev_per_atom": 0.7014,
  "m_tot_mub_per_fu": 0.00,
  "spacegroup": "F-43m (216)",
  "lattice_angstrom": [[-2.294, 3.367, -1.671], [-4.387, 0.080, 0.380], [-1.924, 2.905, 2.693]],
  "species": ["P", "P", "Ta", "Os"],
  "frac_coords": [[0.000, 0.000, 0.000], [0.250, 0.250, 0.250], [0.750, 0.750, 0.750], [0.500, 0.500, 0.500]]
}


{
  "formula": "GdTiPt2",
  "functional": "PBE",
  "state": "optimized geometry",
  "vol_a3_per_atom": 18.72,
  "ef_ev_per_fu": -3.90,
  "m_tot_mub_per_fu": 7.22,
  "spacegroup": "P4/mmm (123)",
  "lattice_angstrom": [[3.215, 0.000, 0.000], [0.000, 3.215, 0.000], [0.000, 0.000, 7.244]],
  "species": ["Gd", "Pt", "Pt", "Ti"],
  "frac_coords": [[0.500, 0.500, 0.500], [0.000, 0.000, 0.798], [0.000, 0.000, 0.202], [0.500, 0.500, 0.000]]
}